--- A ---
The following is a DFT calculation (PBE) of a geometry-optimized RbNa3Os structure.

Output
The volume comes out at 39.8 Å³/atom.

abc: 5.839 5.839 5.839
angles: 90.00 90.00 90.00
Space group Pm-3m (No. 221)
One atom of each set of equivalent atoms:
Rb  0.000  0.000  0.000 x1
Na  0.000  0.500  0.500 x3
Os  0.500  0.500  0.500 x1

---

--- B ---
The following is a DFT calculation (PBE) of a geometry-optimized RbNa3Os structure.

Output
The volume comes out at 38.9 Å³/atom.

abc: 5.792 5.792 5.792
angles: 90.00 90.00 90.00
Space group Pm-3m (No. 221)
One atom of each set of equivalent atoms:
Rb  0.000  0.000  0.000 x1
Na  0.000  0.000  0.500 x3
Os  0.500  0.500  0.500 x1

---

Short version: B is the least stable of them.